Record 1
Below is a relaxed TbHo2As3 crystal, with properties calculated at the PBE-GGA level.

Unit cell a=4.116 b=5.815 c=7.122 alpha=114.09 beta=106.79 gamma=90.00
Fractional positions:
As1 0.000 0.000 0.000
As2 0.332 0.332 0.664
As3 0.668 0.668 0.336
Ho1 0.334 0.834 0.667
Ho2 0.666 0.166 0.333
Tb1 0.000 0.500 0.000

Output
The calculation puts the raw total energy at -6.16 eV per atom. As for the space group: Immm. The density of states at the Fermi level comes out at 0.90 states/eV/cell. For the formation energy, the calculation gives -887.5 kJ/mol of formula units. As for the volume: 24.6 Å³/atom.

Record 2
Below is a relaxed Tb2HoAs crystal, with properties calculated at the PBE-GGA level.

Unit cell a=3.796 b=3.796 c=10.521 alpha=79.61 beta=79.61 gamma=60.00
Fractional positions:
As1 0.500 0.500 0.500
Ho1 0.000 0.000 0.000
Tb1 0.111 0.111 0.668
Tb2 0.889 0.889 0.332

Output
The calculation puts the raw total energy at -4.99 eV per atom. As for the space group: R-3m. The density of states at the Fermi level comes out at 4.57 states/eV/cell. For the formation energy, the calculation gives -143.0 kJ/mol of formula units. As for the volume: 32.1 Å³/atom.

Record 3
Below is a relaxed Tb3HoAs4 crystal, with properties calculated at the PBE-GGA level.

Unit cell a=4.131 b=7.150 c=7.150 alpha=109.48 beta=90.00 gamma=90.00
Fractional positions:
Tb1 0.000 0.000 0.500
Tb2 0.500 0.500 0.500
Tb3 0.000 0.500 0.000
Ho1 0.500 0.000 0.000
As1 0.000 0.248 0.248
As2 0.500 0.751 0.249
As3 0.000 0.752 0.752
As4 0.500 0.249 0.751

Output
The calculation puts the raw total energy at -6.17 eV per atom. As for the space group: Cmmm. The density of states at the Fermi level comes out at 0.94 states/eV/cell. For the formation energy, the calculation gives -1187.5 kJ/mol of formula units. As for the volume: 24.9 Å³/atom.

Record 4
Below is a relaxed Tb3HoAs4 crystal, with properties calculated at the PBE-GGA level.

Unit cell a=5.836 b=5.836 c=5.836 alpha=90.00 beta=90.00 gamma=90.00
Fractional positions:
As1 0.000 0.500 0.000
As2 0.000 0.000 0.500
As3 0.500 0.000 0.000
As4 0.500 0.500 0.500
Tb1 0.500 0.000 0.500
Tb2 0.500 0.500 0.000
Tb3 0.000 0.500 0.500
Ho1 0.000 0.000 0.000

Output
The calculation puts the raw total energy at -6.17 eV per atom. As for the space group: Pm-3m. The density of states at the Fermi level comes out at 0.73 states/eV/cell. For the formation energy, the calculation gives -1190.0 kJ/mol of formula units. As for the volume: 24.8 Å³/atom.

Record 5
Below is a relaxed TbHoAs2 crystal, with properties calculated at the PBE-GGA level.

Unit cell a=5.822 b=5.822 c=7.135 alpha=114.08 beta=114.08 gamma=90.00
Fractional positions:
Tb1 0.750 0.250 0.500
Tb2 0.000 0.000 0.000
As1 0.749 0.749 0.498
As2 0.251 0.251 0.502
As3 0.001 0.501 0.002
As4 0.499 0.999 0.998
Ho1 0.500 0.500 0.000
Ho2 0.250 0.750 0.500

Output
The calculation puts the raw total energy at -6.16 eV per atom. As for the space group: I4_1/amd. The density of states at the Fermi level comes out at 0.97 states/eV/cell. For the formation energy, the calculation gives -593.2 kJ/mol of formula units. As for the volume: 24.7 Å³/atom.

Record 6
Below is a relaxed TbHoAs crystal, with properties calculated at the PBE-GGA level.

Unit cell a=4.274 b=4.274 c=8.134 alpha=90.00 beta=90.00 gamma=90.00
Fractional positions:
Tb1 0.337 0.337 0.500
Tb2 0.837 0.837 0.500
Ho1 0.336 0.836 0.858
Ho2 0.836 0.336 0.142
As1 0.336 0.836 0.218
As2 0.836 0.336 0.782

Output
The calculation puts the raw total energy at -5.51 eV per atom. As for the space group: P4/nmm. The density of states at the Fermi level comes out at 4.26 states/eV/cell. For the formation energy, the calculation gives -257.5 kJ/mol of formula units. As for the volume: 24.8 Å³/atom.

Record 7
Below is a relaxed TbHo5As6 crystal, with properties calculated at the PBE-GGA level.

Unit cell a=7.112 b=7.115 c=7.113 alpha=59.99 beta=80.40 gamma=70.52
Fractional positions:
As1 0.251 0.916 0.665
As2 0.749 0.749 0.000
As3 0.251 0.251 0.000
As4 0.251 0.582 0.335
As5 0.749 0.418 0.665
As6 0.749 0.084 0.335
Ho1 0.000 0.333 0.334
Ho2 0.500 0.166 0.667
Ho3 0.500 0.500 0.000
Ho4 0.000 0.667 0.666
Ho5 0.500 0.834 0.333
Tb1 0.000 0.000 0.000

Output
The calculation puts the raw total energy at -6.15 eV per atom. As for the space group: C2/m. The density of states at the Fermi level comes out at 1.28 states/eV/cell. For the formation energy, the calculation gives -1773.2 kJ/mol of formula units. As for the volume: 24.5 Å³/atom.

Record 8
Below is a relaxed TbHoAs2 crystal, with properties calculated at the PBE-GGA level.

Unit cell a=4.080 b=4.080 c=7.395 alpha=73.99 beta=73.99 gamma=60.00
Fractional positions:
As1 0.252 0.252 0.244
As2 0.081 0.081 0.756
Ho1 0.669 0.669 0.993
Tb1 0.498 0.498 0.507

Output
The calculation puts the raw total energy at -6.01 eV per atom. As for the space group: R3m. The density of states at the Fermi level comes out at 0.37 states/eV/cell. For the formation energy, the calculation gives -534.4 kJ/mol of formula units. As for the volume: 25.3 Å³/atom.

Record 9
Below is a relaxed TbHo2ThAs4 crystal, with properties calculated at the PBE-GGA level.

Unit cell a=4.158 b=7.178 c=7.186 alpha=70.52 beta=90.00 gamma=90.00
Fractional positions:
Ho1 0.000 0.000 0.000
Ho2 0.500 0.000 0.500
As1 0.500 0.246 0.749
As2 0.500 0.754 0.251
As3 0.000 0.757 0.745
As4 0.000 0.243 0.255
Th1 0.500 0.500 0.000
Tb1 0.000 0.500 0.500

Output
The calculation puts the raw total energy at -6.49 eV per atom. As for the space group: P2/m. The density of states at the Fermi level comes out at 1.51 states/eV/cell. For the formation energy, the calculation gives -1168.1 kJ/mol of formula units. As for the volume: 25.3 Å³/atom.

Record 10
Below is a relaxed Tb2HoTh3As6 crystal, with properties calculated at the PBE-GGA level.

Unit cell a=4.201 b=8.353 c=9.365 alpha=102.58 beta=102.96 gamma=90.00
Fractional positions:
As1 0.664 0.086 0.329
As2 0.332 0.420 0.664
As3 0.999 0.756 0.997
As4 0.336 0.914 0.671
As5 0.001 0.244 0.003
As6 0.668 0.580 0.336
Tb1 0.833 0.667 0.667
Tb2 0.167 0.333 0.333
Th1 0.833 0.167 0.666
Th2 0.500 0.500 0.000
Th3 0.167 0.833 0.334
Ho1 0.500 0.000 0.000

Output
The calculation puts the raw total energy at -6.80 eV per atom. As for the space group: C2/m. The density of states at the Fermi level comes out at 5.30 states/eV/cell. For the formation energy, the calculation gives -1703.8 kJ/mol of formula units. As for the volume: 26.0 Å³/atom.

Record 11
Below is a relaxed Tb2HoTmAs4 crystal, with properties calculated at the PBE-GGA level.

Unit cell a=4.112 b=7.117 c=7.118 alpha=70.53 beta=90.00 gamma=90.00
Fractional positions:
Ho1 0.000 0.500 0.500
As1 0.000 0.746 0.752
As2 0.000 0.254 0.248
As3 0.500 0.253 0.750
As4 0.500 0.747 0.250
Tb1 0.500 0.000 0.500
Tb2 0.000 0.000 0.000
Tm1 0.500 0.500 0.000

Output
The calculation puts the raw total energy at -6.14 eV per atom. As for the space group: P2/m. The density of states at the Fermi level comes out at 1.00 states/eV/cell. For the formation energy, the calculation gives -1180.0 kJ/mol of formula units. As for the volume: 24.6 Å³/atom.

Record 12
Below is a relaxed Tb2Ho3TmAs6 crystal, with properties calculated at the PBE-GGA level.

Unit cell a=4.108 b=8.212 c=9.181 alpha=102.90 beta=102.93 gamma=90.00
Fractional positions:
As1 0.666 0.585 0.332
As2 0.001 0.752 0.002
As3 0.334 0.919 0.668
As4 0.334 0.415 0.668
As5 0.999 0.248 0.998
As6 0.666 0.081 0.332
Ho1 0.833 0.166 0.666
Ho2 0.500 0.500 0.000
Ho3 0.167 0.834 0.334
Tb1 0.834 0.667 0.668
Tb2 0.166 0.333 0.332
Tm1 0.500 0.000 0.000

Output
The calculation puts the raw total energy at -6.14 eV per atom. As for the space group: C2/m. The density of states at the Fermi level comes out at 1.86 states/eV/cell. For the formation energy, the calculation gives -1769.1 kJ/mol of formula units. As for the volume: 24.5 Å³/atom.